First-principles (PBEsol) data for a relaxed structure of InSn2SbRh, as listed in Alexandria via LeMat-Bulk.

```
InSn2SbRh
1.0
5.0657 0.0000 0.0000
0.0000 5.0657 0.0000
0.0000 0.0000 5.1934
In Sn Sb Rh
1 2 1 1
Direct
0.0000 0.0000 0.0000
0.0000 0.5000 0.5000
0.5000 0.0000 0.5000
0.5000 0.5000 0.0000
0.5000 0.5000 0.5000
```

The energy relative to the elements, uncorrected is 83 meV per atom. As for the total magnetization: 0.0 μB per formula unit.